The following is a DFT calculation (PBE) of an optimized crystal structure of LiHoW.

```
LiHoW
1.0
0.000 3.114 3.114
3.114 0.000 3.114
3.114 3.114 0.000
Ho Li W
1 1 1
direct
0.250 0.250 0.250
0.000 0.000 0.000
0.750 0.750 0.750
```

Summary:
VASP energy: -15.713 eV per formula unit
Space group: F-43m (216)
M_tot: 0.4 μB per formula unit
E above lowest polymorph: 0.0 meV per atom

The following is a DFT calculation (PBE) of an optimized crystal structure of ZrFeP.

```
ZrFeP
1.0
6.406 0.000 0.000
-3.203 5.547 0.000
0.000 0.000 3.601
Fe P Zr
3 3 3
direct
0.756 0.000 0.000
0.244 0.244 0.000
0.000 0.756 0.000
0.667 0.333 0.000
0.000 0.000 0.500
0.333 0.667 0.000
0.590 0.590 0.500
0.000 0.410 0.500
0.410 0.000 0.500
```

Summary:
VASP energy: -25.254 eV per formula unit
Space group: P-62m (189)
M_tot: 1.1 μB per formula unit

The following is a DFT calculation (PBE) of an optimized crystal structure of HoTmSnPd2.

```
HoTmSnPd2
1.0
-2.105 2.159 1.839
-5.255 -5.449 0.384
-2.775 -5.942 3.802
Pd Sn Ho Tm
2 1 1 1
direct
0.500 0.809 0.809
0.500 0.190 0.190
0.500 0.000 0.000
0.000 0.369 0.369
0.000 0.632 0.632
```

Summary:
VASP energy: -27.969 eV per formula unit
Space group: Amm2 (38)
M_tot: 0.0 μB per formula unit

The following is a DFT calculation (PBE) of an optimized crystal structure of Tb4BI5.

```
Tb4BI5
1.0
-8.271 2.013 -4.761
-6.283 -0.305 -7.454
-2.148 -7.105 4.532
Tb I B
4 5 1
direct
0.364 0.364 0.932
0.001 0.001 0.804
0.999 0.999 0.196
0.636 0.636 0.068
0.171 0.171 0.825
0.500 0.500 0.500
0.829 0.829 0.175
0.835 0.835 0.659
0.165 0.165 0.341
0.500 0.500 0.000
```

Summary:
VASP energy: -43.845 eV per formula unit
Space group: C2/m (12)
M_tot: 0.0 μB per formula unit

The following is a DFT calculation (PBE) of an optimized crystal structure of CsSmTa.

```
CsSmTa
1.0
0.000 3.858 3.858
3.858 0.000 3.858
3.858 3.858 0.000
Ta Sm Cs
1 1 1
direct
0.750 0.750 0.750
0.000 0.000 0.000
0.250 0.250 0.250
```

Summary:
VASP energy: -11.373 eV per formula unit
Space group: F-43m (216)
M_tot: 4.8 μB per formula unit

The following is a DFT calculation (PBE) of an optimized crystal structure of ScNbAu.

```
ScNbAu
1.0
-3.890 -2.251 0.622
-3.766 2.254 1.150
-3.381 0.444 -2.993
Sc Nb Au
1 1 1
direct
0.750 0.750 0.750
0.250 0.250 0.250
0.000 0.000 0.000
```

Summary:
VASP energy: -19.153 eV per formula unit
Energy of formation from the pure elements: 0.18 eV per atom
Space group: F-43m (216)
M_tot: 0.0 μB per formula unit
E above lowest polymorph: 0.0 meV per atom

The following is a DFT calculation (PBE) of an optimized crystal structure of Dy2HoErCd2.

```
Dy2HoErCd2
1.0
5.365 0.000 0.000
0.000 1.816 8.472
0.000 -1.816 8.472
Cd Dy Ho Er
2 2 1 1
direct
0.500 0.433 0.433
0.000 0.568 0.568
0.500 0.090 0.090
0.000 0.910 0.910
0.500 0.775 0.775
0.000 0.225 0.225
```

Summary:
VASP energy: -21.494 eV per formula unit
Energy of formation from the pure elements: -0.23 eV per atom
Space group: Amm2 (38)
M_tot: 0.0 μB per formula unit

The following is a DFT calculation (PBE) of an optimized crystal structure of ReN.

```
ReN
1.0
0.000 2.305 2.305
2.305 0.000 2.305
2.305 2.305 0.000
N Re
1 1
direct
0.000 0.000 0.000
0.250 0.250 0.250
```

Summary:
VASP energy: -19.706 eV per formula unit
Space group: F-43m (216)
M_tot: 0.0 μB per formula unit
E above lowest polymorph: 463.0 meV per atom